No. 1
DFT (PBE-GGA) results for a relaxed KCdCu crystal.

Output
The symmetry is No. 187. The calculation puts the formation energy at 0.16 eV/atom. The value obtained for the total energy is -5.634 eV for the cell shown. The value obtained for the magnetic moment is 0.0000 μB per atom. Its offset from the most stable computed form is 88 meV/atom.

Unit cell a=4.6147 b=4.6147 c=4.9314 alpha=90.00 beta=90.00 gamma=120.00
Closest atoms and distances in Å follow each position.
Fractional coordinates of all 3 atoms:
K 0.3333 0.6667 0.6667  6 Cu 3.63, 6 Cd 3.63
Cu 0.6667 0.3333 0.1666  3 Cd 2.66
Cd 0.0000 0.0000 0.1667  3 Cu 2.66

***

No. 2
DFT (PBE-GGA) results for a relaxed NiWBr crystal.

Output
The symmetry is No. 187. The value obtained for the formation energy without anion corrections is 989 meV/atom. The value obtained for the total energy is -17.440 eV for the cell shown. The value obtained for the magnetic moment is 0.0000 μB per atom. Its offset from the most stable computed form is 407 meV/atom.

Unit cell a=4.3437 b=4.3437 c=2.8907 alpha=90.00 beta=90.00 gamma=120.00
Closest atoms and distances in Å follow each position.
Fractional coordinates of all 3 atoms:
Br 0.0000 0.0000 0.8336  3 W 2.51
W 0.3333 0.6667 0.8337  3 Br 2.51
Ni 0.6667 0.3333 0.3328  2 Ni 2.89, 6 W 2.89-2.90, 6 Br 2.89-2.90

***

No. 3
DFT (PBE-GGA) results for a relaxed NaGeOs2 crystal.

Output
The symmetry is No. 122. The calculation puts the formation energy at 0.87 eV/atom. The value obtained for the total energy is -49.869 eV for the cell shown. The value obtained for the magnetic moment is 0.0000 μB per atom.

Unit cell a=4.1924 b=4.1924 c=9.6279 alpha=77.42 beta=77.42 gamma=90.00
Closest atoms and distances in Å follow each position.
Fractional coordinates of all 8 atoms:
Os 0.7447 0.1250 0.2500  2 Os 2.36, 2 Ge 2.58
Na 0.5000 0.5000 0.0000  4 Os 2.96, 4 Ge 2.96
Ge 0.0000 0.0000 0.0000  4 Os 2.58
Os 0.3750 0.2553 0.7500  2 Os 2.36, 2 Ge 2.58
Os 0.0053 0.6250 0.2500  2 Os 2.36, 2 Ge 2.58
Os 0.8750 0.9947 0.7500  2 Os 2.36, 2 Ge 2.58
Na 0.2500 0.7500 0.5000  4 Os 2.96, 4 Ge 2.96
Ge 0.7500 0.2500 0.5000  4 Os 2.58

***

No. 4
DFT (PBE-GGA) results for a relaxed Zn2CuSbO6 crystal.

Output
The symmetry is No. 11. The value obtained for the formation energy without anion corrections is -1060 meV/atom. The value obtained for the total energy is -102.222 eV for the cell shown. The value obtained for the magnetic moment is 0.0000 μB per atom.

Unit cell a=7.5158 b=5.3982 c=5.4603 alpha=80.77 beta=90.00 gamma=90.00
Closest atoms and distances in Å follow each position.
Fractional coordinates of all 20 atoms:
O 0.0743 0.7956 0.1387  1 Sb 1.95, 1 Zn 2.00
Sb 0.5000 0.5000 0.0000  6 O 1.95-2.09
Zn 0.7500 0.4340 0.5353  4 O 2.11-2.28
O 0.4257 0.7956 0.1387  1 Sb 1.95, 1 Zn 2.00
O 0.9438 0.6747 0.6527  1 Cu 1.87, 1 Sb 2.02
O 0.2500 0.9156 0.5898  2 Cu 1.98, 2 Zn 2.04-2.11
Zn 0.2500 0.5660 0.4647  4 O 2.11-2.28
O 0.5562 0.6747 0.6527  1 Cu 1.87, 1 Sb 2.02
O 0.5743 0.2044 0.8613  1 Sb 1.95, 1 Zn 2.00
Zn 0.2500 0.0184 0.9336  4 O 2.00-2.06
O 0.0562 0.3253 0.3473  1 Cu 1.87, 1 Sb 2.02
O 0.2500 0.4044 0.8765  2 Zn 2.06-2.28, 2 Sb 2.09
O 0.7500 0.0844 0.4102  2 Cu 1.98, 2 Zn 2.04-2.11
O 0.9257 0.2044 0.8613  1 Sb 1.95, 1 Zn 2.00
Zn 0.7500 0.9816 0.0664  4 O 2.00-2.06
Sb 0.0000 0.5000 0.0000  6 O 1.95-2.09
Cu 0.0000 0.0000 0.5000  4 O 1.87-1.98
O 0.7500 0.5956 0.1235  2 Zn 2.06-2.28, 2 Sb 2.09
Cu 0.5000 0.0000 0.5000  4 O 1.87-1.98
O 0.4438 0.3253 0.3473  1 Cu 1.87, 1 Sb 2.02

***

No. 5
DFT (PBE-GGA) results for a relaxed NdAg2Bi crystal.

Output
The symmetry is No. 166. The calculation puts the formation energy at 0.30 eV/atom. The value obtained for the total energy is -13.171 eV for the cell shown. The value obtained for the magnetic moment is 0.0000 μB per atom.

Unit cell a=3.3361 b=3.3361 c=11.2985 alpha=81.51 beta=81.51 gamma=60.00
Closest atoms and distances in Å follow each position.
Fractional coordinates of all 4 atoms:
Ag 0.9094 0.9094 0.2717  1 Nd 3.02, 3 Bi 3.19, 6 Ag 3.34
Bi 0.5000 0.5000 0.5000  6 Ag 3.19, 6 Bi 3.34
Nd 0.0000 0.0000 0.0000  2 Ag 3.02, 6 Nd 3.34
Ag 0.0906 0.0906 0.7283  1 Nd 3.02, 3 Bi 3.19, 6 Ag 3.34

***

No. 6
DFT (PBE-GGA) results for a relaxed Rb2CaSiS4 crystal.

Output
The symmetry is No. 15. The value obtained for the formation energy without anion corrections is -969 meV/atom. The value obtained for the total energy is -67.247 eV for the cell shown. The value obtained for the magnetic moment is 0.0000 μB per atom.

Unit cell a=7.9257 b=7.9257 c=8.3423 alpha=107.58 beta=107.58 gamma=91.10
Closest atoms and distances in Å follow each position.
Fractional coordinates of all 16 atoms:
Si 0.0000 0.0000 0.0000  4 S 2.20-2.29
S 0.8710 0.2375 0.1270  1 Si 2.29
S 0.1290 0.7625 0.8730  1 Si 2.29
S 0.1491 0.1779 0.9193  1 Si 2.20
S 0.8509 0.8221 0.0807  1 Si 2.20
S 0.2625 0.6290 0.3730  1 Si 2.29
S 0.6779 0.6491 0.4193  1 Si 2.20
Si 0.5000 0.5000 0.5000  4 S 2.20-2.29
S 0.7375 0.3710 0.6270  1 Si 2.29
Rb 0.5000 0.5000 0.0000  4 S 3.17-3.50
S 0.3221 0.3509 0.5807  1 Si 2.20
Ca 0.0000 0.5000 0.5000  6 S 2.82-3.02
Rb 0.5000 0.0000 0.0000  4 S 3.13-3.16
Ca 0.0000 0.5000 0.0000  6 S 2.82-3.02
Rb 0.0000 0.0000 0.5000  4 S 3.17-3.50
Rb 0.5000 0.0000 0.5000  4 S 3.13-3.16

***

No. 7
DFT (PBE-GGA) results for a relaxed NbSI3 crystal.

Output
The symmetry is No. 15. The value obtained for the formation energy without anion corrections is -553 meV/atom. The value obtained for the total energy is -86.441 eV for the cell shown. The value obtained for the magnetic moment is 0.0000 μB per atom. Its offset from the most stable computed form is 0 meV/atom.

Unit cell a=7.7772 b=8.4986 c=13.7542 alpha=87.08 beta=83.60 gamma=62.77
Closest atoms and distances in Å follow each position.
Fractional coordinates of all 20 atoms:
Nb 0.9895 0.8890 0.1551  2 S 2.47-2.52, 1 I 2.75
S 0.2925 0.6568 0.2131  1 S 2.04
S 0.9494 0.3432 0.7131  1 S 2.04
I 0.2377 0.8082 0.9728  2 Nb 2.89-2.99
I 0.2861 0.8948 0.6983  2 Nb 2.80-2.96
S 0.0506 0.6568 0.2869  1 S 2.04
I 0.4853 0.7306 0.4103  1 Nb 2.75
Nb 0.8785 0.1110 0.6551  2 S 2.47-2.52, 1 I 2.75
I 0.7139 0.1052 0.3017  2 Nb 2.80-2.96
I 0.1809 0.1052 0.1983  2 Nb 2.80-2.96
I 0.9541 0.8082 0.5272  2 Nb 2.89-2.99
I 0.5147 0.2694 0.5897  1 Nb 2.75
I 0.7841 0.7306 0.0897  1 Nb 2.75
Nb 0.1215 0.8890 0.3449  2 S 2.47-2.52, 1 I 2.75
I 0.0459 0.1918 0.4728  2 Nb 2.89-2.99
I 0.2159 0.2694 0.9103  1 Nb 2.75
I 0.7623 0.1918 0.0272  2 Nb 2.89-2.99
Nb 0.0105 0.1110 0.8449  2 S 2.47-2.52, 1 I 2.75
S 0.7075 0.3432 0.7869  1 S 2.04
I 0.8191 0.8948 0.8017  2 Nb 2.80-2.96

***

No. 8
DFT (PBE-GGA) results for a relaxed CsBa2MnBe crystal.

Output
The symmetry is No. 123. The calculation puts the formation energy at 1.25 eV/atom. The value obtained for the total energy is -11.335 eV for the cell shown. The value obtained for the magnetic moment is 0.0000 μB per atom.

Unit cell a=5.7259 b=5.9624 c=5.7259 alpha=90.00 beta=90.00 gamma=90.00
Closest atoms and distances in Å follow each position.
Fractional coordinates of all 5 atoms:
Ba 0.5000 0.0000 0.0000  2 Mn 2.86
Be 0.5000 0.5000 0.5000  4 Cs 4.05, 8 Ba 4.13
Mn 0.0000 0.0000 0.0000  4 Ba 2.86, 2 Cs 2.98
Cs 0.0000 0.5000 0.0000  2 Mn 2.98
Ba 0.0000 0.0000 0.5000  2 Mn 2.86

***

No. 9
DFT (PBE-GGA) results for a relaxed CuCl2OF crystal.

Output
The symmetry is No. 123. The value obtained for the formation energy without anion corrections is 790 meV/atom. The value obtained for the total energy is -10.669 eV for the cell shown. The value obtained for the magnetic moment is 0.0000 μB per atom.

Unit cell a=5.1973 b=3.5899 c=5.1973 alpha=90.00 beta=90.00 gamma=90.00
Closest atoms and distances in Å follow each position.
Fractional coordinates of all 5 atoms:
Cu 0.0000 0.5000 0.0000  2 F 1.79
Cl 0.5000 0.0000 0.0000  2 F 2.60
F 0.0000 0.0000 0.0000  2 Cu 1.79
O 0.5000 0.5000 0.5000  8 Cl 3.16
Cl 0.0000 0.0000 0.5000  2 F 2.60

***

No. 10
DFT (PBE-GGA) results for a relaxed Pu2TaS5 crystal.

Output
The symmetry is No. 63. The value obtained for the formation energy without anion corrections is -1282 meV/atom. The value obtained for the total energy is -142.818 eV for the cell shown. The value obtained for the magnetic moment is 1.3772 μB per atom.

Unit cell a=5.2466 b=6.9526 c=12.2825 alpha=90.00 beta=90.00 gamma=112.17
Closest atoms and distances in Å follow each position.
Fractional coordinates of all 16 atoms:
S 0.0518 0.1035 0.1256  1 Ta 2.42, 2 Pu 2.68-2.69
Pu 0.1492 0.2983 0.9328  6 S 2.68-2.82
S 0.0518 0.1035 0.3744  1 Ta 2.42, 2 Pu 2.68-2.69
S 0.9482 0.8965 0.8744  1 Ta 2.42, 2 Pu 2.68-2.69
S 0.3129 0.6258 0.4142  1 Ta 2.51, 2 Pu 2.68
S 0.6871 0.3742 0.5858  1 Ta 2.51, 2 Pu 2.68
S 0.9482 0.8965 0.6256  1 Ta 2.42, 2 Pu 2.68-2.69
Ta 0.1971 0.3942 0.2500  6 S 2.42-2.64
S 0.3129 0.6258 0.0858  1 Ta 2.51, 2 Pu 2.68
Pu 0.8508 0.7017 0.4328  6 S 2.68-2.82
Ta 0.8029 0.6058 0.7500  6 S 2.42-2.64
Pu 0.1492 0.2983 0.5672  6 S 2.68-2.82
S 0.7210 0.4419 0.2500  2 Ta 2.64, 2 Pu 2.80
Pu 0.8508 0.7017 0.0672  6 S 2.68-2.82
S 0.2790 0.5581 0.7500  2 Ta 2.64, 2 Pu 2.80
S 0.6871 0.3742 0.9142  1 Ta 2.51, 2 Pu 2.68

***

No. 11
DFT (PBE-GGA) results for a relaxed LiMnFe2 crystal.

Output
The symmetry is No. 166. The calculation puts the formation energy at 0.20 eV/atom. The value obtained for the total energy is -27.190 eV for the cell shown. The value obtained for the magnetic moment is 0.7285 μB per atom. Its offset from the most stable computed form is 0 meV/atom.

Unit cell a=8.7159 b=8.7159 c=8.7159 alpha=16.41 beta=16.41 gamma=16.41
Closest atoms and distances in Å follow each position.
Fractional coordinates of all 4 atoms:
Fe 0.0050 0.0050 0.0050  3 Mn 2.48, 6 Fe 2.49, 3 Li 2.69
Fe 0.4950 0.4950 0.4950  3 Mn 2.48, 6 Fe 2.49, 3 Li 2.69
Mn 0.7500 0.7500 0.7500  6 Fe 2.48, 6 Mn 2.49
Li 0.2500 0.2500 0.2500  6 Li 2.49, 6 Fe 2.69

***

No. 12
DFT (PBE-GGA) results for a relaxed Hf2Cu3Pt crystal.

Output
The symmetry is No. 15. The calculation puts the formation energy at -0.35 eV/atom. The value obtained for the total energy is -80.649 eV for the cell shown. The value obtained for the magnetic moment is 0.0000 μB per atom.

Unit cell a=4.8407 b=4.8407 c=8.9447 alpha=101.57 beta=101.57 gamma=104.76
Closest atoms and distances in Å follow each position.
Fractional coordinates of all 12 atoms:
Cu 0.5324 0.7823 0.0647  5 Cu 2.66-2.89, 3 Hf 2.75-2.83, 2 Pt 2.88
Cu 0.6247 0.3753 0.2500  6 Cu 2.66-2.89, 4 Hf 2.70, 2 Pt 2.95
Cu 0.4676 0.2177 0.9353  5 Cu 2.66-2.89, 3 Hf 2.75-2.83, 2 Pt 2.88
Hf 0.0545 0.3045 0.1093  2 Pt 2.70, 7 Cu 2.70-2.98
Cu 0.3753 0.6247 0.7500  6 Cu 2.66-2.89, 4 Hf 2.70, 2 Pt 2.95
Hf 0.6955 0.9455 0.3907  2 Pt 2.70, 7 Cu 2.70-2.98
Cu 0.7823 0.5324 0.5647  5 Cu 2.66-2.89, 3 Hf 2.75-2.83, 2 Pt 2.88
Hf 0.3045 0.0545 0.6093  2 Pt 2.70, 7 Cu 2.70-2.98
Pt 0.1251 0.8749 0.2500  4 Hf 2.70, 6 Cu 2.88-2.95
Pt 0.8749 0.1251 0.7500  4 Hf 2.70, 6 Cu 2.88-2.95
Hf 0.9455 0.6955 0.8907  2 Pt 2.70, 7 Cu 2.70-2.98
Cu 0.2177 0.4676 0.4353  5 Cu 2.66-2.89, 3 Hf 2.75-2.83, 2 Pt 2.88